[1]
# Rb4LiCe3Se8 PBE optimized geometry
# Formation energy from raw total energies ... -24.47 eV/f.u.
# Total magnetic moment ... 1.1 μB per formula unit
# Crystal system ... trigonal
data_Rb4LiCe3Se8
_chemical_formula_sum 'Rb12 Li3 Ce9 Se24'
_cell_length_a 8.6835
_cell_length_b 8.6835
_cell_length_c 23.7106
_cell_angle_alpha 90.00
_cell_angle_beta 90.00
_cell_angle_gamma 120.00
_symmetry_space_group_name_H-M 'R -3 m'
_symmetry_Int_Tables_number 166
_symmetry_space_group_name_Hall '-R 3 2"'
loop_
_atom_site_label
_atom_site_type_symbol
_atom_site_fract_x
_atom_site_fract_y
_atom_site_fract_z
_atom_site_occupancy
Rb1 Rb 0.0000 0.0000 0.0000 1
Rb2 Rb 0.0000 0.5000 0.0000 1
Li1 Li 0.0000 0.0000 0.5000 1
Ce1 Ce 0.0000 0.5000 0.5000 1
Se1 Se 0.0000 0.0000 0.2331 1
Se2 Se 0.0095 0.5047 0.7694 1

[2]
# Rb4LiCe3Te8 PBE optimized geometry
# Formation energy from raw total energies ... -19.37 eV/f.u.
# Total magnetic moment ... 1.1 μB per formula unit
# Crystal system ... trigonal
data_Rb4LiCe3Te8
_chemical_formula_sum 'Rb12 Li3 Ce9 Te24'
_cell_length_a 9.2594
_cell_length_b 9.2594
_cell_length_c 25.3162
_cell_angle_alpha 90.00
_cell_angle_beta 90.00
_cell_angle_gamma 120.00
_symmetry_space_group_name_H-M 'R -3 m'
_symmetry_Int_Tables_number 166
_symmetry_space_group_name_Hall '-R 3 2"'
loop_
_atom_site_label
_atom_site_type_symbol
_atom_site_fract_x
_atom_site_fract_y
_atom_site_fract_z
_atom_site_occupancy
Rb1 Rb 0.0000 0.0000 0.0000 1
Rb2 Rb 0.0000 0.5000 0.0000 1
Li1 Li 0.0000 0.0000 0.5000 1
Ce1 Ce 0.0000 0.5000 0.5000 1
Te1 Te 0.0000 0.0000 0.2343 1
Te2 Te 0.0051 0.5025 0.7682 1

[3]
# Rb2Li2CeTe4 PBE optimized geometry
# Formation energy from raw total energies ... -10.47 eV/f.u.
# Total magnetic moment ... 0.0 μB per formula unit
# Crystal system ... monoclinic
data_Rb2Li2CeTe4
_chemical_formula_sum 'Rb4 Li4 Ce2 Te8'
_cell_length_a 16.7690
_cell_length_b 4.6519
_cell_length_c 8.5230
_cell_angle_alpha 90.00
_cell_angle_beta 109.45
_cell_angle_gamma 90.00
_symmetry_space_group_name_H-M 'C 1 2/m 1'
_symmetry_Int_Tables_number 12
_symmetry_space_group_name_Hall '-C 2y'
loop_
_atom_site_label
_atom_site_type_symbol
_atom_site_fract_x
_atom_site_fract_y
_atom_site_fract_z
_atom_site_occupancy
Rb1 Rb 0.1381 0.0000 0.0670 1
Li1 Li 0.1803 0.5000 0.4878 1
Ce1 Ce 0.0000 0.0000 0.5000 1
Te1 Te 0.0144 0.5000 0.2656 1
Te2 Te 0.1947 0.0000 0.6723 1

[4]
# RbLiCe2Te4 PBE optimized geometry
# Formation energy from raw total energies ... -10.30 eV/f.u.
# Total magnetic moment ... 2.0 μB per formula unit
# Crystal system ... orthorhombic
data_RbLiCe2Te4
_chemical_formula_sum 'Rb4 Li4 Ce8 Te16'
_cell_length_a 4.6378
_cell_length_b 15.4773
_cell_length_c 16.0496
_cell_angle_alpha 90.00
_cell_angle_beta 90.00
_cell_angle_gamma 90.00
_symmetry_space_group_name_H-M 'C m c m'
_symmetry_Int_Tables_number 63
_symmetry_space_group_name_Hall '-C 2c 2'
loop_
_atom_site_label
_atom_site_type_symbol
_atom_site_fract_x
_atom_site_fract_y
_atom_site_fract_z
_atom_site_occupancy
Rb1 Rb 0.0000 0.1111 0.2500 1
Li1 Li 0.0000 0.1631 0.7500 1
Ce1 Ce 0.0000 0.3678 0.0612 1
Te1 Te 0.0000 0.0000 0.0000 1
Te2 Te 0.0000 0.2640 0.6094 1
Te3 Te 0.0000 0.4297 0.2500 1

[5]
# LiCe2Re PBE optimized geometry
# Energy of formation from the pure elements ... 122 meV per atom
# Total magnetic moment ... 0.6 μB per formula unit
# Crystal system ... tetragonal
data_LiCe2Re
_chemical_formula_sum 'Li1 Ce2 Re1'
_cell_length_a 3.3412
_cell_length_b 3.3412
_cell_length_c 8.6943
_cell_angle_alpha 90.00
_cell_angle_beta 90.00
_cell_angle_gamma 90.00
_symmetry_space_group_name_H-M 'P 4/m m m'
_symmetry_Int_Tables_number 123
_symmetry_space_group_name_Hall '-P 4 2'
loop_
_atom_site_label
_atom_site_type_symbol
_atom_site_fract_x
_atom_site_fract_y
_atom_site_fract_z
_atom_site_occupancy
Li1 Li 0.0000 0.0000 0.0000 1
Ce1 Ce 0.5000 0.5000 0.2964 1
Re1 Re 0.0000 0.0000 0.5000 1

[6]
# LiCe2Re PBE optimized geometry
# Energy of formation from the pure elements ... 418 meV per atom
# Total magnetic moment ... 0.4 μB per formula unit
# Crystal system ... trigonal
data_LiCe2Re
_chemical_formula_sum 'Li3 Ce6 Re3'
_cell_length_a 3.9512
_cell_length_b 3.9512
_cell_length_c 29.6305
_cell_angle_alpha 90.00
_cell_angle_beta 90.00
_cell_angle_gamma 120.00
_symmetry_space_group_name_H-M 'R -3 m'
_symmetry_Int_Tables_number 166
_symmetry_space_group_name_Hall '-R 3 2"'
loop_
_atom_site_label
_atom_site_type_symbol
_atom_site_fract_x
_atom_site_fract_y
_atom_site_fract_z
_atom_site_occupancy
Li1 Li 0.0000 0.0000 0.0000 1
Ce1 Ce 0.0000 0.0000 0.1153 1
Re1 Re 0.0000 0.0000 0.5000 1

[7]
# LiTbCeRe PBE optimized geometry
# Energy of formation from the pure elements ... 77 meV per atom
# Total magnetic moment ... 0.2 μB per formula unit
# Crystal system ... cubic
data_LiTbCeRe
_chemical_formula_sum 'Li4 Tb4 Ce4 Re4'
_cell_length_a 6.9990
_cell_length_b 6.9990
_cell_length_c 6.9990
_cell_angle_alpha 90.00
_cell_angle_beta 90.00
_cell_angle_gamma 90.00
_symmetry_space_group_name_H-M 'F -4 3 m'
_symmetry_Int_Tables_number 216
_symmetry_space_group_name_Hall 'F -4 2 3'
loop_
_atom_site_label
_atom_site_type_symbol
_atom_site_fract_x
_atom_site_fract_y
_atom_site_fract_z
_atom_site_occupancy
Li1 Li 0.0000 0.0000 0.0000 1
Tb1 Tb 0.2500 0.2500 0.2500 1
Ce1 Ce 0.2500 0.2500 0.7500 1
Re1 Re 0.0000 0.0000 0.5000 1

[8]
# LiCeTiRe PBE optimized geometry
# Energy of formation from the pure elements ... 88 meV per atom
# Total magnetic moment ... 0.8 μB per formula unit
# Crystal system ... cubic
data_LiCeTiRe
_chemical_formula_sum 'Li4 Ce4 Ti4 Re4'
_cell_length_a 6.6153
_cell_length_b 6.6153
_cell_length_c 6.6153
_cell_angle_alpha 90.00
_cell_angle_beta 90.00
_cell_angle_gamma 90.00
_symmetry_space_group_name_H-M 'F -4 3 m'
_symmetry_Int_Tables_number 216
_symmetry_space_group_name_Hall 'F -4 2 3'
loop_
_atom_site_label
_atom_site_type_symbol
_atom_site_fract_x
_atom_site_fract_y
_atom_site_fract_z
_atom_site_occupancy
Li1 Li 0.0000 0.0000 0.0000 1
Ce1 Ce 0.2500 0.2500 0.7500 1
Ti1 Ti 0.2500 0.2500 0.2500 1
Re1 Re 0.0000 0.0000 0.5000 1

[9]
# LiCeTmRe PBE optimized geometry
# Energy of formation from the pure elements ... 36 meV per atom
# Total magnetic moment ... 0.0 μB per formula unit
# Crystal system ... cubic
data_LiCeTmRe
_chemical_formula_sum 'Li4 Ce4 Tm4 Re4'
_cell_length_a 6.9388
_cell_length_b 6.9388
_cell_length_c 6.9388
_cell_angle_alpha 90.00
_cell_angle_beta 90.00
_cell_angle_gamma 90.00
_symmetry_space_group_name_H-M 'F -4 3 m'
_symmetry_Int_Tables_number 216
_symmetry_space_group_name_Hall 'F -4 2 3'
loop_
_atom_site_label
_atom_site_type_symbol
_atom_site_fract_x
_atom_site_fract_y
_atom_site_fract_z
_atom_site_occupancy
Li1 Li 0.0000 0.0000 0.0000 1
Ce1 Ce 0.2500 0.2500 0.2500 1
Tm1 Tm 0.2500 0.2500 0.7500 1
Re1 Re 0.0000 0.0000 0.5000 1

[10]
# LiCeZrRe PBE optimized geometry
# Energy of formation from the pure elements ... 41 meV per atom
# Total magnetic moment ... 0.3 μB per formula unit
# Crystal system ... cubic
data_LiCeZrRe
_chemical_formula_sum 'Li4 Ce4 Zr4 Re4'
_cell_length_a 6.8150
_cell_length_b 6.8150
_cell_length_c 6.8150
_cell_angle_alpha 90.00
_cell_angle_beta 90.00
_cell_angle_gamma 90.00
_symmetry_space_group_name_H-M 'F -4 3 m'
_symmetry_Int_Tables_number 216
_symmetry_space_group_name_Hall 'F -4 2 3'
loop_
_atom_site_label
_atom_site_type_symbol
_atom_site_fract_x
_atom_site_fract_y
_atom_site_fract_z
_atom_site_occupancy
Li1 Li 0.0000 0.0000 0.0000 1
Ce1 Ce 0.2500 0.2500 0.7500 1
Zr1 Zr 0.2500 0.2500 0.2500 1
Re1 Re 0.0000 0.0000 0.5000 1

[11]
# Li4CeRh2 PBE optimized geometry
# Energy of formation from the pure elements ... -264 meV per atom
# Total magnetic moment ... 0.0 μB per formula unit
# Crystal system ... orthorhombic
data_Li4CeRh2
_chemical_formula_sum 'Li8 Ce2 Rh4'
_cell_length_a 3.6015
_cell_length_b 17.7150
_cell_length_c 3.7918
_cell_angle_alpha 90.00
_cell_angle_beta 90.00
_cell_angle_gamma 90.00
_symmetry_space_group_name_H-M 'C m m m'
_symmetry_Int_Tables_number 65
_symmetry_space_group_name_Hall '-C 2 2'
loop_
_atom_site_label
_atom_site_type_symbol
_atom_site_fract_x
_atom_site_fract_y
_atom_site_fract_z
_atom_site_occupancy
Li1 Li 0.0000 0.1742 0.0000 1
Li2 Li 0.0000 0.3136 0.5000 1
Ce1 Ce 0.0000 0.5000 0.0000 1
Rh1 Rh 0.0000 0.0773 0.5000 1

[12]
# LiCeRh PBE optimized geometry
# Energy above the lowest structure with this stoichiometry ... 0.198 eV per atom
# Energy of formation from the pure elements ... -273 meV per atom
# Total magnetic moment ... 0.5 μB per formula unit
# Crystal system ... tetragonal
data_LiCeRh
_chemical_formula_sum 'Li2 Ce2 Rh2'
_cell_length_a 3.6068
_cell_length_b 3.6068
_cell_length_c 9.2906
_cell_angle_alpha 90.00
_cell_angle_beta 90.00
_cell_angle_gamma 90.00
_symmetry_space_group_name_H-M 'I 4 m m'
_symmetry_Int_Tables_number 107
_symmetry_space_group_name_Hall 'I 4 -2'
loop_
_atom_site_label
_atom_site_type_symbol
_atom_site_fract_x
_atom_site_fract_y
_atom_site_fract_z
_atom_site_occupancy
Li1 Li 0.0000 0.0000 0.0000 1
Ce1 Ce 0.0000 0.0000 0.3006 1
Rh1 Rh 0.0000 0.0000 0.6757 1

Calculated values (eV per atom) of VASP energy for the records, taken in order: -4.746; -4.256; -3.859; -4.702; -6.436; -6.139; -6.154; -6.960; -6.156; -7.170; -4.306; -5.339.